The following is a DFT calculation (PBE with a Hubbard U) of an optimized crystal structure of VHgO2.

## Properties
space-group type: R-3m
M_tot: 1.278 μB/cell
electronic total energy: -5.7767 eV per atom
DOS at the Fermi energy: 2.4 states/eV per cell

Cell: 7.9442 7.9442 7.9442 Å, 21.72 21.72 21.72°
Last column: nearest neighbours and their distance in Å.
Fractional coordinates of all 4 atoms:
V: 0.5000 0.5000 0.5000  6 O 2.00
Hg: 0.0000 0.0000 0.0000  2 O 2.87, 6 Hg 2.99
O: 0.8764 0.8764 0.8764  3 V 2.00
O: 0.1236 0.1236 0.1236  3 V 2.00